Entry 1:
Ba2BeW after structural relaxation. Source: Alexandria, functional GGA-PBEsol.

extended XYZ file:
```
4
Lattice="4.8679 -1.5284 0.0000 4.8679 1.5284 0.0000 -0.5875 0.0000 7.1688" Properties=species:S:1:pos:R:3 pbc="T T T"
Ba 2.2611 0.0000 1.7684
Ba 6.8872 0.0000 5.4004
Be 4.8679 0.0000 0.0000
W -0.2938 0.0000 3.5844
```

DFT total energy = -15.8 eV/cell
total magnetization = 0.240 μB per atom
N(E_F) = 1.018 states/eV/atom
V = 107 Å³/cell
formation energy from the elements = 1.57 eV/atom


Entry 2:
RbBaTaAg2 after structural relaxation. Source: Alexandria, functional GGA-PBEsol.

extended XYZ file:
```
5
Lattice="5.3766 0.0000 0.0000 0.0000 5.3766 0.0000 0.0000 0.0000 5.9193" Properties=species:S:1:pos:R:3 pbc="T T T"
Rb 0.0000 0.0000 0.0000
Ba 0.0000 0.0000 2.9597
Ta 2.6883 2.6883 2.9597
Ag 0.0000 2.6883 0.0000
Ag 2.6883 0.0000 0.0000
```

DFT total energy = -12.6 eV/cell
total magnetization = 0.706 μB per atom
N(E_F) = 0.965 states/eV/atom
V = 171 Å³/cell
formation energy from the elements = 1.95 eV/atom


Entry 3:
SrTl2Br after structural relaxation. Source: Alexandria, functional GGA-PBEsol.

extended XYZ file:
```
4
Lattice="3.8086 0.0000 0.0000 -1.9033 5.3593 0.0000 -0.0065 -0.9246 6.1000" Properties=species:S:1:pos:R:3 pbc="T T T"
Sr 0.0000 0.0000 0.0000
Tl -0.0093 2.0252 3.8185
Tl 1.9004 -0.3920 2.9189
Br 1.9068 2.3505 0.6002
```

DFT total energy = -11.6 eV/cell
total magnetization = 0.000 μB per atom
N(E_F) = 0.488 states/eV/atom
V = 125 Å³/cell
formation energy (no corrections) = -0.6459 eV/atom


Entry 4:
CaP2W2O10 after structural relaxation. Source: Alexandria, functional GGA-PBEsol.

extended XYZ file:
```
30
Lattice="0.0000 6.0689 7.8422 3.7249 0.0000 7.8422 3.7249 6.0689 0.0000" Properties=species:S:1:pos:R:3 pbc="T T T"
Ca 0.9312 1.5172 1.9606
Ca 6.5186 10.6205 13.7239
P 2.7937 4.5516 1.2448
P 4.6561 7.5861 5.1659
P 2.7937 4.5516 10.5185
P 4.6561 7.5861 14.4396
W 3.7249 3.0344 3.9211
W 1.8625 6.0689 3.9211
W 1.8625 3.0344 7.8422
W 3.7249 6.0689 7.8422
O 2.5989 3.2931 2.1360
O 2.1339 1.6987 4.2141
O 3.4535 1.6987 7.5492
O 5.3160 4.7332 8.1352
O 2.9885 5.8101 2.1360
O 4.8509 6.3276 6.0572
O 2.7937 4.5516 4.5201
O 3.4535 7.4045 4.2141
O 2.7937 4.5516 7.2433
O 2.9885 3.2931 9.6273
O 4.4613 8.8446 6.0572
O 4.6561 7.5861 8.4412
O 3.9963 4.7332 11.4703
O 4.6561 7.5861 11.1644
O 2.5989 5.8101 9.6273
O 4.4613 6.3276 13.5484
O 2.1339 7.4045 7.5492
O 3.9963 10.4390 8.1352
O 5.3160 10.4390 11.4703
O 4.8509 8.8446 13.5484
```

DFT total energy = -252.7 eV/cell
total magnetization = 0.191 μB per atom
N(E_F) = 0.186 states/eV/atom
V = 355 Å³/cell
formation energy (no corrections) = -2.1677 eV/atom


Entry 5:
AlAg2Ir after structural relaxation. Source: Alexandria, functional GGA-PBEsol.

extended XYZ file:
```
4
Lattice="1.4019 -2.3830 0.0000 1.4019 2.3830 0.0000 0.0000 0.0000 9.2856" Properties=species:S:1:pos:R:3 pbc="T T T"
Al 0.0000 0.0000 0.0000
Ag 1.4019 0.0000 2.2591
Ag 1.4019 0.0000 7.0264
Ir 0.0000 0.0000 4.6428
```

DFT total energy = -19.7 eV/cell
total magnetization = 0.000 μB per atom
N(E_F) = 0.696 states/eV/atom
V = 62 Å³/cell
formation energy from the elements = 0.20 eV/atom


Entry 6:
La2InAu after structural relaxation. Source: Alexandria, functional GGA-PBEsol.

extended XYZ file:
```
4
Lattice="5.1265 0.0000 0.0000 0.0000 5.1265 0.0000 0.0000 0.0000 4.1379" Properties=species:S:1:pos:R:3 pbc="T T T"
La 0.0000 2.5632 0.0000
La 2.5632 0.0000 0.0000
In 0.0000 0.0000 2.0690
Au 2.5632 2.5632 2.0690
```

DFT total energy = -19.9 eV/cell
total magnetization = 0.000 μB per atom
N(E_F) = 0.886 states/eV/atom
V = 109 Å³/cell
formation energy from the elements = -0.57 eV/atom